1.
NaB2SeI | Alexandria via LeMat-Bulk | PBE-GGA | relaxed; uncorrected formation energy = 154 kJ/mol of atoms; E_tot = -0.086 Ha/atom
1.0
4.678 0.000 0.000
0.000 5.683 0.000
0.000 0.000 4.678
I Na B Se
1 1 2 1
direct
0.000 0.000 0.000
0.000 0.500 0.000
0.000 0.000 0.500
0.500 0.000 0.000
0.500 0.500 0.500



2.
Na2TaBI | Alexandria via LeMat-Bulk | PBE-GGA | relaxed; uncorrected formation energy = 184 kJ/mol of atoms; E_tot = -0.097 Ha/atom
1.0
-3.751 -3.971 -0.988
2.101 -3.019 4.159
-3.397 2.356 3.426
I Na B Ta
1 2 1 1
direct
0.000 0.000 0.000
0.000 0.500 0.000
0.500 0.000 0.000
0.000 0.000 0.500
0.500 0.500 0.500



3.
NaBTeI2 | Alexandria via LeMat-Bulk | PBE-GGA | relaxed; uncorrected formation energy = 104 kJ/mol of atoms; E_tot = -0.065 Ha/atom
1.0
-0.145 -5.873 0.670
4.260 -0.568 -4.062
4.012 0.375 4.155
I Na B Te
2 1 1 1
direct
0.000 0.500 0.000
0.500 0.000 0.000
0.000 0.000 0.000
0.500 0.500 0.500
0.000 0.000 0.500